(A)
DFT (PBE) results for crystalline Ni16Te at its relaxed geometry.

Geometry as CIF:
```
data_Ni16Te
_chemical_formula_sum 'Ni32 Te2'
_symmetry_space_group_name_H-M 'P -1'
_symmetry_Int_Tables_number 2
_cell_length_a 4.275
_cell_length_b 6.518
_cell_length_c 27.482
_cell_angle_alpha 89.96
_cell_angle_beta 89.89
_cell_angle_gamma 89.85
loop_
_symmetry_equiv_pos_as_xyz
'x,y,z'
'-x,-y,-z'
loop_
_atom_site_label
_atom_site_type_symbol
_atom_site_fract_x
_atom_site_fract_y
_atom_site_fract_z
_atom_site_occupancy
Ni1 Ni 0.082 0.179 0.091 1
Ni2 Ni 0.083 0.322 0.007 1
Ni3 Ni 0.084 0.464 0.924 1
Ni4 Ni 0.085 0.038 0.175 1
Ni5 Ni 0.085 0.609 0.838 1
Ni6 Ni 0.246 0.679 0.191 1
Ni7 Ni 0.249 0.251 0.854 1
Ni8 Ni 0.249 0.822 0.104 1
Ni9 Ni 0.250 0.107 0.938 1
Ni10 Ni 0.250 0.964 0.021 1
Ni11 Ni 0.413 0.465 0.118 1
Ni12 Ni 0.414 0.032 0.787 1
Ni13 Ni 0.417 0.607 0.035 1
Ni14 Ni 0.417 0.749 0.951 1
Ni15 Ni 0.417 0.892 0.868 1
Ni16 Ni 0.418 0.319 0.201 1
Te1 Te 0.247 0.395 0.760 1
```

Crystal system   triclinic

---

(B)
DFT (PBE) results for crystalline Ni16Te at its relaxed geometry.

Geometry as CIF:
```
data_Ni16Te
_chemical_formula_sum 'Ni32 Te2'
_symmetry_space_group_name_H-M 'P 1 21/m 1'
_symmetry_Int_Tables_number 11
_cell_length_a 10.405
_cell_length_b 2.590
_cell_length_c 28.004
_cell_angle_alpha 90.00
_cell_angle_beta 90.66
_cell_angle_gamma 90.00
loop_
_symmetry_equiv_pos_as_xyz
'x,y,z'
'-x,-y,-z'
'-x,y+1/2,-z'
'x,-y+1/2,z'
loop_
_atom_site_label
_atom_site_type_symbol
_atom_site_fract_x
_atom_site_fract_y
_atom_site_fract_z
_atom_site_occupancy
Ni1 Ni 0.024 0.250 0.221 1
Ni2 Ni 0.028 0.250 0.964 1
Ni3 Ni 0.084 0.750 0.152 1
Ni4 Ni 0.084 0.750 0.891 1
Ni5 Ni 0.138 0.250 0.080 1
Ni6 Ni 0.142 0.250 0.817 1
Ni7 Ni 0.194 0.750 0.007 1
Ni8 Ni 0.248 0.250 0.197 1
Ni9 Ni 0.250 0.250 0.935 1
Ni10 Ni 0.304 0.750 0.863 1
Ni11 Ni 0.305 0.750 0.123 1
Ni12 Ni 0.359 0.250 0.791 1
Ni13 Ni 0.361 0.250 0.051 1
Ni14 Ni 0.416 0.750 0.979 1
Ni15 Ni 0.472 0.250 0.166 1
Ni16 Ni 0.472 0.250 0.906 1
Te1 Te 0.419 0.750 0.249 1
```

Crystal system   monoclinic

---

Stability summary: most stable (A), least stable (B).

---

(A)
DFT (PBE) results for crystalline TbTeNO at its relaxed geometry.

Geometry as CIF:
```
data_TbTeNO
_chemical_formula_sum 'Tb2 Te2 N2 O2'
_symmetry_space_group_name_H-M 'P 4/n m m'
_symmetry_Int_Tables_number 129
_cell_length_a 5.040
_cell_length_b 5.040
_cell_length_c 4.853
_cell_angle_alpha 90.00
_cell_angle_beta 90.00
_cell_angle_gamma 90.00
loop_
_symmetry_equiv_pos_as_xyz
'x,y,z'
'-x,-y,-z'
'-y+1/2,x,z'
'y+1/2,-x,-z'
'-x+1/2,-y+1/2,z'
'x+1/2,y+1/2,-z'
'y,-x+1/2,z'
'-y,x+1/2,-z'
'x+1/2,-y,-z'
'-x+1/2,y,z'
'-y,-x,-z'
'y,x,z'
'-x,y+1/2,-z'
'x,-y+1/2,z'
'y+1/2,x+1/2,-z'
'-y+1/2,-x+1/2,z'
loop_
_atom_site_label
_atom_site_type_symbol
_atom_site_fract_x
_atom_site_fract_y
_atom_site_fract_z
_atom_site_occupancy
Tb1 Tb 0.250 0.750 0.000 1
Te1 Te 0.250 0.250 0.482 1
N1 N 0.250 0.250 0.906 1
O1 O 0.250 0.750 0.500 1
```

Crystal system   tetragonal

---

(B)
DFT (PBE) results for crystalline TbTeNO at its relaxed geometry.

Geometry as CIF:
```
data_TbTeNO
_chemical_formula_sum 'Tb2 Te2 N2 O2'
_symmetry_space_group_name_H-M 'P 4/n m m'
_symmetry_Int_Tables_number 129
_cell_length_a 4.517
_cell_length_b 4.517
_cell_length_c 7.113
_cell_angle_alpha 90.00
_cell_angle_beta 90.00
_cell_angle_gamma 90.00
loop_
_symmetry_equiv_pos_as_xyz
'x,y,z'
'-x,-y,-z'
'-y+1/2,x,z'
'y+1/2,-x,-z'
'-x+1/2,-y+1/2,z'
'x+1/2,y+1/2,-z'
'y,-x+1/2,z'
'-y,x+1/2,-z'
'x+1/2,-y,-z'
'-x+1/2,y,z'
'-y,-x,-z'
'y,x,z'
'-x,y+1/2,-z'
'x,-y+1/2,z'
'y+1/2,x+1/2,-z'
'-y+1/2,-x+1/2,z'
loop_
_atom_site_label
_atom_site_type_symbol
_atom_site_fract_x
_atom_site_fract_y
_atom_site_fract_z
_atom_site_occupancy
Tb1 Tb 0.250 0.250 0.120 1
Te1 Te 0.250 0.750 0.500 1
N1 N 0.250 0.250 0.446 1
O1 O 0.250 0.750 0.000 1
```

Crystal system   tetragonal

---

Stability summary: most stable (B), least stable (A).

---

(A)
DFT (PBE) results for crystalline SrLiReOs at its relaxed geometry.

Geometry as CIF:
```
data_SrLiReOs
_chemical_formula_sum 'Sr4 Li4 Re4 Os4'
_symmetry_space_group_name_H-M 'F -4 3 m'
_symmetry_Int_Tables_number 216
_symmetry_space_group_name_Hall 'F -4 2 3'
_cell_length_a 6.646
_cell_length_b 6.646
_cell_length_c 6.646
_cell_angle_alpha 90.00
_cell_angle_beta 90.00
_cell_angle_gamma 90.00
loop_
_atom_site_label
_atom_site_type_symbol
_atom_site_fract_x
_atom_site_fract_y
_atom_site_fract_z
_atom_site_occupancy
Sr1 Sr 0.000 0.000 0.000 1
Li1 Li 0.000 0.000 0.500 1
Re1 Re 0.250 0.250 0.750 1
Os1 Os 0.250 0.250 0.250 1
```

Crystal system   cubic

---

(B)
DFT (PBE) results for crystalline SrLiReOs at its relaxed geometry.

Geometry as CIF:
```
data_SrLiReOs
_chemical_formula_sum 'Sr4 Li4 Re4 Os4'
_symmetry_space_group_name_H-M 'F -4 3 m'
_symmetry_Int_Tables_number 216
_symmetry_space_group_name_Hall 'F -4 2 3'
_cell_length_a 6.502
_cell_length_b 6.502
_cell_length_c 6.502
_cell_angle_alpha 90.00
_cell_angle_beta 90.00
_cell_angle_gamma 90.00
loop_
_atom_site_label
_atom_site_type_symbol
_atom_site_fract_x
_atom_site_fract_y
_atom_site_fract_z
_atom_site_occupancy
Sr1 Sr 0.000 0.000 0.000 1
Li1 Li 0.250 0.250 0.250 1
Re1 Re 0.250 0.250 0.750 1
Os1 Os 0.000 0.000 0.500 1
```

Crystal system   cubic

---

Stability summary: most stable (B), least stable (A).

---

(A)
DFT (PBE) results for crystalline KLuCoS3 at its relaxed geometry.

Geometry as CIF:
```
data_KLuCoS3
_chemical_formula_sum 'K4 Lu4 Co4 S12'
_symmetry_space_group_name_H-M 'C 1 2/m 1'
_symmetry_Int_Tables_number 12
_cell_length_a 15.940
_cell_length_b 3.985
_cell_length_c 8.302
_cell_angle_alpha 90.00
_cell_angle_beta 102.51
_cell_angle_gamma 90.00
loop_
_symmetry_equiv_pos_as_xyz
'x,y,z'
'-x,-y,-z'
'-x,y,-z'
'x,-y,z'
'x+1/2,y+1/2,z'
'-x+1/2,-y+1/2,-z'
'-x+1/2,y+1/2,-z'
'x+1/2,-y+1/2,z'
loop_
_atom_site_label
_atom_site_type_symbol
_atom_site_fract_x
_atom_site_fract_y
_atom_site_fract_z
_atom_site_occupancy
K1 K 0.150 0.000 0.068 1
Lu1 Lu 0.164 0.000 0.581 1
Co1 Co 0.001 0.500 0.264 1
S1 S 0.000 0.000 0.500 1
S2 S 0.000 0.500 0.000 1
S3 S 0.149 0.500 0.784 1
S4 S 0.161 0.500 0.358 1
```

Crystal system   monoclinic

---

(B)
DFT (PBE) results for crystalline KLuCoS3 at its relaxed geometry.

Geometry as CIF:
```
data_KLuCoS3
_chemical_formula_sum 'K2 Lu2 Co2 S6'
_symmetry_space_group_name_H-M 'P 1 21/m 1'
_symmetry_Int_Tables_number 11
_cell_length_a 8.693
_cell_length_b 3.818
_cell_length_c 9.146
_cell_angle_alpha 90.00
_cell_angle_beta 108.55
_cell_angle_gamma 90.00
loop_
_symmetry_equiv_pos_as_xyz
'x,y,z'
'-x,-y,-z'
'-x,y+1/2,-z'
'x,-y+1/2,z'
loop_
_atom_site_label
_atom_site_type_symbol
_atom_site_fract_x
_atom_site_fract_y
_atom_site_fract_z
_atom_site_occupancy
K1 K 0.202 0.250 0.234 1
Lu1 Lu 0.333 0.750 0.857 1
Co1 Co 0.077 0.250 0.592 1
S1 S 0.116 0.250 0.850 1
S2 S 0.183 0.750 0.537 1
S3 S 0.459 0.750 0.161 1
```

Crystal system   monoclinic

---

Stability summary: most stable (B), least stable (A).

---

(A)
DFT (PBE) results for crystalline NdPdNO at its relaxed geometry.

Geometry as CIF:
```
data_NdPdNO
_chemical_formula_sum 'Nd2 Pd2 N2 O2'
_symmetry_space_group_name_H-M 'P 4/n m m'
_symmetry_Int_Tables_number 129
_cell_length_a 4.881
_cell_length_b 4.881
_cell_length_c 4.669
_cell_angle_alpha 90.00
_cell_angle_beta 90.00
_cell_angle_gamma 90.00
loop_
_symmetry_equiv_pos_as_xyz
'x,y,z'
'-x,-y,-z'
'-y+1/2,x,z'
'y+1/2,-x,-z'
'-x+1/2,-y+1/2,z'
'x+1/2,y+1/2,-z'
'y,-x+1/2,z'
'-y,x+1/2,-z'
'x+1/2,-y,-z'
'-x+1/2,y,z'
'-y,-x,-z'
'y,x,z'
'-x,y+1/2,-z'
'x,-y+1/2,z'
'y+1/2,x+1/2,-z'
'-y+1/2,-x+1/2,z'
loop_
_atom_site_label
_atom_site_type_symbol
_atom_site_fract_x
_atom_site_fract_y
_atom_site_fract_z
_atom_site_occupancy
Nd1 Nd 0.250 0.750 0.000 1
Pd1 Pd 0.250 0.250 0.500 1
N1 N 0.250 0.250 0.002 1
O1 O 0.250 0.750 0.500 1
```

Crystal system   tetragonal

---

(B)
DFT (PBE) results for crystalline NdPdNO at its relaxed geometry.

Geometry as CIF:
```
data_NdPdNO
_chemical_formula_sum 'Nd2 Pd2 N2 O2'
_symmetry_space_group_name_H-M 'P m c 21'
_symmetry_Int_Tables_number 26
_cell_length_a 3.878
_cell_length_b 5.226
_cell_length_c 5.564
_cell_angle_alpha 90.00
_cell_angle_beta 90.00
_cell_angle_gamma 90.00
loop_
_symmetry_equiv_pos_as_xyz
'x,y,z'
'-x,-y,z+1/2'
'-x,y,z'
'x,-y,z+1/2'
loop_
_atom_site_label
_atom_site_type_symbol
_atom_site_fract_x
_atom_site_fract_y
_atom_site_fract_z
_atom_site_occupancy
Nd1 Nd 0.000 0.190 0.000 1
Pd1 Pd 0.500 0.344 0.510 1
N1 N 0.000 0.332 0.582 1
O1 O 0.500 0.058 0.241 1
```

Crystal system   orthorhombic

---

Stability summary: most stable (B), least stable (A).

---

(A)
DFT (PBE) results for crystalline NaYSiPd at its relaxed geometry.

Geometry as CIF:
```
data_NaYSiPd
_chemical_formula_sum 'Na4 Y4 Si4 Pd4'
_symmetry_space_group_name_H-M 'F -4 3 m'
_symmetry_Int_Tables_number 216
_symmetry_space_group_name_Hall 'F -4 2 3'
_cell_length_a 6.871
_cell_length_b 6.871
_cell_length_c 6.871
_cell_angle_alpha 90.00
_cell_angle_beta 90.00
_cell_angle_gamma 90.00
loop_
_atom_site_label
_atom_site_type_symbol
_atom_site_fract_x
_atom_site_fract_y
_atom_site_fract_z
_atom_site_occupancy
Na1 Na 0.000 0.000 0.000 1
Y1 Y 0.000 0.000 0.500 1
Si1 Si 0.250 0.250 0.250 1
Pd1 Pd 0.250 0.250 0.750 1
```

Crystal system   cubic

---

(B)
DFT (PBE) results for crystalline NaYSiPd at its relaxed geometry.

Geometry as CIF:
```
data_NaYSiPd
_chemical_formula_sum 'Na4 Y4 Si4 Pd4'
_symmetry_space_group_name_H-M 'F -4 3 m'
_symmetry_Int_Tables_number 216
_symmetry_space_group_name_Hall 'F -4 2 3'
_cell_length_a 6.646
_cell_length_b 6.646
_cell_length_c 6.646
_cell_angle_alpha 90.00
_cell_angle_beta 90.00
_cell_angle_gamma 90.00
loop_
_atom_site_label
_atom_site_type_symbol
_atom_site_fract_x
_atom_site_fract_y
_atom_site_fract_z
_atom_site_occupancy
Na1 Na 0.000 0.000 0.000 1
Y1 Y 0.250 0.250 0.750 1
Si1 Si 0.250 0.250 0.250 1
Pd1 Pd 0.000 0.000 0.500 1
```

Crystal system   cubic

---

Stability summary: most stable (B), least stable (A).

---

(A)
DFT (PBE) results for crystalline TePtNO at its relaxed geometry.

Geometry as CIF:
```
data_TePtNO
_chemical_formula_sum 'Te2 Pt2 N2 O2'
_symmetry_space_group_name_H-M 'P 4/n m m'
_symmetry_Int_Tables_number 129
_cell_length_a 4.630
_cell_length_b 4.630
_cell_length_c 4.969
_cell_angle_alpha 90.00
_cell_angle_beta 90.00
_cell_angle_gamma 90.00
loop_
_symmetry_equiv_pos_as_xyz
'x,y,z'
'-x,-y,-z'
'-y+1/2,x,z'
'y+1/2,-x,-z'
'-x+1/2,-y+1/2,z'
'x+1/2,y+1/2,-z'
'y,-x+1/2,z'
'-y,x+1/2,-z'
'x+1/2,-y,-z'
'-x+1/2,y,z'
'-y,-x,-z'
'y,x,z'
'-x,y+1/2,-z'
'x,-y+1/2,z'
'y+1/2,x+1/2,-z'
'-y+1/2,-x+1/2,z'
loop_
_atom_site_label
_atom_site_type_symbol
_atom_site_fract_x
_atom_site_fract_y
_atom_site_fract_z
_atom_site_occupancy
Te1 Te 0.250 0.750 0.000 1
Pt1 Pt 0.250 0.250 0.430 1
N1 N 0.250 0.250 0.852 1
O1 O 0.250 0.750 0.500 1
```

Crystal system   tetragonal

---

(B)
DFT (PBE) results for crystalline TePtNO at its relaxed geometry.

Geometry as CIF:
```
data_TePtNO
_chemical_formula_sum 'Te2 Pt2 N2 O2'
_symmetry_space_group_name_H-M 'P m c 21'
_symmetry_Int_Tables_number 26
_cell_length_a 4.202
_cell_length_b 6.395
_cell_length_c 5.107
_cell_angle_alpha 90.00
_cell_angle_beta 90.00
_cell_angle_gamma 90.00
loop_
_symmetry_equiv_pos_as_xyz
'x,y,z'
'-x,-y,z+1/2'
'-x,y,z'
'x,-y,z+1/2'
loop_
_atom_site_label
_atom_site_type_symbol
_atom_site_fract_x
_atom_site_fract_y
_atom_site_fract_z
_atom_site_occupancy
Te1 Te 0.000 0.207 0.000 1
Pt1 Pt 0.500 0.465 0.618 1
N1 N 0.500 0.251 0.901 1
O1 O 0.000 0.092 0.354 1
```

Crystal system   orthorhombic

---

Stability summary: most stable (B), least stable (A).

---

(A)
DFT (PBE) results for crystalline Os at its relaxed geometry.

Geometry as CIF:
```
data_Os
_chemical_formula_sum 'Os3'
_symmetry_space_group_name_H-M 'R -3 m'
_symmetry_Int_Tables_number 166
_symmetry_space_group_name_Hall '-R 3 2"'
_cell_length_a 2.7377
_cell_length_b 2.7377
_cell_length_c 6.5071
_cell_angle_alpha 90.00
_cell_angle_beta 90.00
_cell_angle_gamma 120.00
loop_
_atom_site_label
_atom_site_type_symbol
_atom_site_fract_x
_atom_site_fract_y
_atom_site_fract_z
_atom_site_occupancy
Os1 Os 0.0000 0.0000 0.0000 1
```

Crystal system   trigonal

---

(B)
DFT (PBE) results for crystalline Os at its relaxed geometry.

Geometry as CIF:
```
data_Os
_chemical_formula_sum 'Os3'
_symmetry_space_group_name_H-M 'P 31 2 1'
_symmetry_Int_Tables_number 152
_cell_length_a 4.0377
_cell_length_b 4.0377
_cell_length_c 3.8843
_cell_angle_alpha 90.00
_cell_angle_beta 90.00
_cell_angle_gamma 120.00
loop_
_symmetry_equiv_pos_as_xyz
'x,y,z'
'-y,x-y,z+1/3'
'-x+y,-x,z+2/3'
'y,x,-z'
'x-y,-y,-z+2/3'
'-x,-x+y,-z+1/3'
loop_
_atom_site_label
_atom_site_type_symbol
_atom_site_fract_x
_atom_site_fract_y
_atom_site_fract_z
_atom_site_occupancy
Os1 Os 0.0000 0.4487 0.1667 1
```

Crystal system   trigonal

---

Stability summary: most stable (A), least stable (B).